## Tl6CdPb5 (PBE)

Data for a relaxed structure of Tl6CdPb5.

Lattice parameters (Å, degrees): 6.099 7.820 7.820 85.15 97.59 97.59
Sites, in units of the cell vectors:
Tl 0.752 0.917 0.588
Tl 0.248 0.083 0.412
Tl 0.249 0.752 0.752
Tl 0.248 0.412 0.083
Tl 0.751 0.248 0.248
Tl 0.752 0.588 0.917
Pb 0.000 0.669 0.331
Pb 0.500 0.834 0.166
Pb 0.500 0.500 0.500
Pb 0.000 0.331 0.669
Pb 0.500 0.166 0.834
Cd 0.000 0.000 0.000

Properties
- ΔH_f (0 K) (eV per formula unit) = 0.16